Density functional theory data (PBE) for LaTmPd2 after structural relaxation.

## Properties
* distance to the lowest polymorph of the same formula: 33 meV per atom
* SG: P4/mmm, No. 123
* ΔH_f (0 K): -841 meV/atom

a b c (Å): 3.488 3.488 7.432
angles (deg): 90.00 90.00 90.00
Positions (direct):
Pd 0.000 0.000 0.781
Pd 0.000 0.000 0.219
La 0.500 0.500 0.500
Tm 0.500 0.500 0.000


Density functional theory data (PBE) for Cd2InSe after structural relaxation.

## Properties
* ΔE_f (raw): -61 kJ/mol of formula units
* distance to the lowest polymorph of the same formula: 24 meV per atom
* SG: P2/m, No. 10

a b c (Å): 3.984 5.352 5.310
angles (deg): 71.34 90.00 90.00
Positions (direct):
Cd 0.000 0.520 0.521
In 0.500 0.250 0.250
Cd 0.000 0.980 0.979
Se 0.500 0.750 0.750